Record 1
Below is Mn2Ni3As3 after structural relaxation, with properties calculated at the PBE-GGA level.

Unit cell a=7.0209 b=7.0209 c=5.4093 alpha=90.00 beta=90.00 gamma=120.00
Space group P6_3/mcm (No. 193)
Unique sites:
Mn 0.3333 0.6667 0.0000 x4
Ni 0.0000 0.3539 0.2500 x6
As 0.0000 0.3119 0.7500 x6

***

Record 2
Below is Mn2NiAs2 after structural relaxation, with properties calculated at the PBE-GGA level.

Unit cell a=3.730 b=3.730 c=21.779 alpha=90.00 beta=90.00 gamma=90.00
Space group I4_1/amd (No. 141, origin choice 2)
Unique sites:
Mn 0.000 0.250 0.044 x8
Ni 0.000 0.250 0.375 x4
As 0.000 0.250 0.190 x8

***

Record 3
Below is MnNi2As2 after structural relaxation, with properties calculated at the PBE-GGA level.

Unit cell a=6.847 b=6.847 c=2.946 alpha=90.00 beta=90.00 gamma=90.00
Space group P4/mbm (No. 127)
Unique sites:
Mn 0.000 0.000 0.000 x2
Ni 0.136 0.364 0.500 x4
As 0.163 0.663 0.000 x4

Calculated values
- Excess energy over the best structure of this formula in the dataset: 0 meV per atom

***

Record 4
Below is MnNi5As after structural relaxation, with properties calculated at the PBE-GGA level.

Unit cell a=6.154 b=6.842 c=8.533 alpha=90.00 beta=110.76 gamma=90.00
Space group C2/c (No. 15)
Unique sites:
Mn 0.000 0.011 0.250 x4
Ni 0.000 0.365 0.250 x4
Ni 0.105 0.164 0.541 x8
Ni 0.204 0.313 0.850 x8
As 0.000 0.500 0.000 x4

***

Record 5
Below is MnNi14As after structural relaxation, with properties calculated at the PBE-GGA level.

Unit cell a=5.036 b=5.036 c=7.045 alpha=90.00 beta=90.00 gamma=90.00
Space group P4/mmm (No. 123)
Unique sites:
Mn 0.000 0.000 0.000 x1
Ni 0.000 0.000 0.500 x1
Ni 0.000 0.500 0.000 x2
Ni 0.000 0.500 0.500 x2
Ni 0.250 0.250 0.254 x8
Ni 0.500 0.500 0.500 x1
As 0.500 0.500 0.000 x1

***

Record 6
Below is MnNi5As after structural relaxation, with properties calculated at the PBE-GGA level.

Unit cell a=8.648 b=8.588 c=6.162 alpha=90.00 beta=123.05 gamma=90.00
Space group C2/c (No. 15)
Unique sites:
Mn 0.000 0.041 0.250 x4
Ni 0.000 0.309 0.250 x4
Ni 0.109 0.200 0.987 x8
Ni 0.210 0.108 0.693 x8
As 0.000 0.500 0.000 x4

***

| no. | DFT total energy (eV for the cell shown) | E_form (eV/atom) | magnetic moment (μB per cell) |
| --- | --- | --- | --- |
| 1 | -102.0 | -0.17 | 13.97 |
| 2 | -135.8 | -0.10 | 27.80 |
| 3 | -60.4 | -0.03 | 5.65 |
| 4 | -171.9 | -0.03 | 17.62 |
| 5 | -95.5 | -0.05 | 10.13 |
| 6 | -163.1 | 0.28 | 18.48 |